[1]
# PBE Nb2PdO6, optimized geometry
# - Magnetic moment: 0.01 Bohr magnetons per cell
# - VASP energy: -8.110 eV/atom
data_Nb2PdO6
_symmetry_space_group_name_H-M 'C 1 2/c 1'
_symmetry_Int_Tables_number 15
_cell_length_a 17.5130
_cell_length_b 4.7035
_cell_length_c 5.8083
_cell_angle_alpha 90.00
_cell_angle_beta 98.49
_cell_angle_gamma 90.00
loop_
_symmetry_equiv_pos_as_xyz
'x,y,z'
'-x,-y,-z'
'-x,y,-z+1/2'
'x,-y,z+1/2'
'x+1/2,y+1/2,z'
'-x+1/2,-y+1/2,-z'
'-x+1/2,y+1/2,-z+1/2'
'x+1/2,-y+1/2,z+1/2'
loop_
_atom_site_label
_atom_site_type_symbol
_atom_site_fract_x
_atom_site_fract_y
_atom_site_fract_z
Nb1 Nb 0.1707 0.2494 0.1414
Pd1 Pd 0.0000 0.4965 0.2500
O1 O 0.0799 0.4798 0.0352
O2 O 0.1379 0.0115 0.3578
O3 O 0.2249 0.4631 0.8579

=====

[2]
# PBE LiTbTl, optimized geometry
# - Magnetic moment: 0.02 Bohr magnetons per cell
# - VASP energy: -3.009 eV/atom
data_LiTbTl
_symmetry_space_group_name_H-M 'F -4 3 m'
_symmetry_Int_Tables_number 216
_symmetry_space_group_name_Hall 'F -4 2 3'
_cell_length_a 6.6605
_cell_length_b 6.6605
_cell_length_c 6.6605
_cell_angle_alpha 90.00
_cell_angle_beta 90.00
_cell_angle_gamma 90.00
loop_
_atom_site_label
_atom_site_type_symbol
_atom_site_fract_x
_atom_site_fract_y
_atom_site_fract_z
Li1 Li 0.0000 0.0000 0.0000
Tb1 Tb 0.2500 0.2500 0.7500
Tl1 Tl 0.2500 0.2500 0.2500

=====

Repeat the second record exactly.
# PBE LiTbTl, optimized geometry
# - Magnetic moment: 0.02 Bohr magnetons per cell
# - VASP energy: -3.009 eV/atom
data_LiTbTl
_symmetry_space_group_name_H-M 'F -4 3 m'
_symmetry_Int_Tables_number 216
_symmetry_space_group_name_Hall 'F -4 2 3'
_cell_length_a 6.6605
_cell_length_b 6.6605
_cell_length_c 6.6605
_cell_angle_alpha 90.00
_cell_angle_beta 90.00
_cell_angle_gamma 90.00
loop_
_atom_site_label
_atom_site_type_symbol
_atom_site_fract_x
_atom_site_fract_y
_atom_site_fract_z
Li1 Li 0.0000 0.0000 0.0000
Tb1 Tb 0.2500 0.2500 0.7500
Tl1 Tl 0.2500 0.2500 0.2500

=====

Look up the magnetic moment of the second one.
0.02 Bohr magnetons per cell